[1]
Entry from Alexandria: crystalline DyZrSb at its relaxed geometry (PBE).

Lattice parameters (Å, degrees): 18.483 4.114 9.238 90.00 93.73 90.00
Space group C2/m (No. 12)
Symmetry-distinct sites (fractional):
Dy 0.041 0.000 0.338 (multiplicity 4)
Dy 0.097 0.500 0.855 (multiplicity 4)
Zr 0.245 0.000 0.376 (multiplicity 4)
Zr 0.247 0.000 0.871 (multiplicity 4)
Sb 0.137 0.000 0.617 (multiplicity 4)
Sb 0.138 0.000 0.100 (multiplicity 4)

Calculated values
- crystal system = monoclinic


[2]
Entry from Alexandria: crystalline DyZr2Sb4 at its relaxed geometry (PBE).

Lattice parameters (Å, degrees): 4.133 13.792 13.783 90.00 90.00 90.00
Space group Cmcm (No. 63)
Symmetry-distinct sites (fractional):
Dy 0.000 0.109 0.250 (multiplicity 4)
Zr 0.000 0.364 0.055 (multiplicity 8)
Sb 0.000 0.000 0.000 (multiplicity 4)
Sb 0.000 0.264 0.632 (multiplicity 8)
Sb 0.000 0.441 0.250 (multiplicity 4)

Calculated values
- crystal system = orthorhombic


Asked for formation energy (no corrections) across the records above, the calculation gives -1.160; -3.842 eV/f.u. in order.